DFT (PBE) results for a relaxed Ca3MgO4 crystal.

Computed properties:
ρ   3.28 Mg/m³
Uncorrected formation energy   -22.53 eV per formula unit
Final energy   -6.25 eV/atom

Lattice parameters (Å, degrees): 3.3545 3.3545 9.3844 90.00 90.00 90.00
Closest atoms and distances in Å follow each position.
Space group P4/mmm (No. 123)
Inequivalent atoms, fractional coordinates:
Ca 0.0000 0.0000 0.0000 (multiplicity 1)  6 O 2.37-2.50
Ca 0.5000 0.5000 0.2606 (multiplicity 2)  6 O 2.25-2.45
Mg 0.0000 0.0000 0.5000 (multiplicity 1)  6 O 2.19-2.37
O 0.0000 0.0000 0.2667 (multiplicity 2)  1 Mg 2.19, 4 Ca 2.37
O 0.5000 0.5000 0.0000 (multiplicity 1)  6 Ca 2.37-2.45
O 0.5000 0.5000 0.5000 (multiplicity 1)  2 Ca 2.25, 4 Mg 2.37

---

DFT (PBE) results for a relaxed SrMgZr2 crystal.

Computed properties:
ρ   4.55 Mg/m³
Formation energy from the elements   0.46 eV per atom
Final energy   -4.63 eV/atom

Lattice parameters (Å, degrees): 4.6397 4.6397 4.9913 90.00 90.00 90.00
Closest atoms and distances in Å follow each position.
Space group P4/mmm (No. 123)
Inequivalent atoms, fractional coordinates:
Sr 0.0000 0.0000 0.0000 (multiplicity 1)  4 Mg 3.28, 8 Zr 3.41
Mg 0.5000 0.5000 0.0000 (multiplicity 1)  4 Sr 3.28, 8 Zr 3.41
Zr 0.0000 0.5000 0.5000 (multiplicity 2)  4 Zr 3.28, 4 Mg 3.41, 4 Sr 3.41

---

DFT (PBE) results for a relaxed Al3HAu crystal.

Computed properties:
Energy above the lowest structure with this stoichiometry   0 meV per atom
ρ   6.77 Mg/m³
Final energy   -3.53 eV/atom

Lattice parameters (Å, degrees): 4.0893 4.0893 4.0893 90.00 90.00 90.00
Closest atoms and distances in Å follow each position.
Space group Pm-3m (No. 221)
Inequivalent atoms, fractional coordinates:
Al 0.0000 0.0000 0.5000 (multiplicity 3)  2 H 2.04
H 0.0000 0.0000 0.0000 (multiplicity 1)  6 Al 2.04
Au 0.5000 0.5000 0.5000 (multiplicity 1)  12 Al 2.89

---

DFT (PBE) results for a relaxed Mg2TcHg crystal.

Computed properties:
ρ   7.95 Mg/m³
Formation energy from the elements   0.22 eV per atom
Final energy   -3.24 eV/atom

Lattice parameters (Å, degrees): 9.5039 2.9591 5.2342 90.00 99.99 90.00
Closest atoms and distances in Å follow each position.
Space group C2/m (No. 12)
Inequivalent atoms, fractional coordinates:
Mg 0.2454 0.0000 0.2332 (multiplicity 4)  3 Tc 2.85-2.89, 6 Mg 2.87-3.15, 3 Hg 2.92-2.97
Tc 0.0000 0.5000 0.0000 (multiplicity 2)  6 Mg 2.85-2.89, 2 Tc 2.96, 4 Hg 3.01
Hg 0.0000 0.0000 0.5000 (multiplicity 2)  6 Mg 2.92-2.97, 2 Hg 2.96, 4 Tc 3.01

---

DFT (PBE) results for a relaxed LiCa3Pb crystal.

Computed properties:
Energy above the lowest structure with this stoichiometry   0 meV per atom
ρ   3.51 Mg/m³
Formation energy from the elements   -0.31 eV per atom
Final energy   -2.64 eV/atom

Lattice parameters (Å, degrees): 5.3770 21.8770 5.3807 90.00 90.00 90.00
Closest atoms and distances in Å follow each position.
Space group Cmcm (No. 63)
Inequivalent atoms, fractional coordinates:
Li 0.0000 0.1586 0.2500 (multiplicity 4)  8 Ca 3.34-3.37
Ca 0.0000 0.0660 0.7500 (multiplicity 4)  2 Li 3.37, 2 Pb 3.40
Ca 0.0000 0.2495 0.7500 (multiplicity 4)  4 Pb 3.31-3.32, 4 Li 3.34-3.36
Ca 0.0000 0.4317 0.7500 (multiplicity 4)  2 Li 3.34, 2 Pb 3.37
Pb 0.0000 0.3386 0.2500 (multiplicity 4)  8 Ca 3.31-3.40

---

DFT (PBE) results for a relaxed AcEuSbBr crystal.

Computed properties:
ρ   7.66 Mg/m³
Uncorrected formation energy   -4.88 eV per formula unit
Final energy   -6.27 eV/atom

Lattice parameters (Å, degrees): 7.9545 7.9545 7.9545 90.00 90.00 90.00
Closest atoms and distances in Å follow each position.
Space group F-43m (No. 216)
Inequivalent atoms, fractional coordinates:
Ac 0.0000 0.0000 0.0000 (multiplicity 4)  4 Sb 3.44, 4 Br 3.44
Eu 0.0000 0.0000 0.5000 (multiplicity 4)  4 Br 3.44, 4 Sb 3.44
Sb 0.2500 0.2500 0.7500 (multiplicity 4)  4 Eu 3.44, 4 Ac 3.44
Br 0.2500 0.2500 0.2500 (multiplicity 4)  4 Ac 3.44, 4 Eu 3.44

---

no.,M_tot (Bohr magnetons per cell)
1,0.000
2,0.001
3,0.000
4,0.000
5,0.000
6,31.534